[1]
ErLuGeRh: relaxed, GGA-PBE.

Computed properties:
SG: F-43m, No. 216
ρ: 10.496 Mg/m³
Electronic total energy: -6.03 eV/atom

Geometry as POSCAR:
```
ErLuGeRh
1.0
0.000 3.447 3.447
3.447 0.000 3.447
3.447 3.447 0.000
Er Lu Ge Rh
1 1 1 1
Cartesian
0.000 0.000 0.000
3.447 3.447 3.447
1.723 1.723 1.723
5.170 5.170 5.170
```



[2]
ErLuGeRu: relaxed, GGA-PBE.

Computed properties:
SG: F-43m, No. 216
ρ: 10.603 Mg/m³
Electronic total energy: -6.27 eV/atom

Geometry as POSCAR:
```
ErLuGeRu
1.0
0.000 3.431 3.431
3.431 0.000 3.431
3.431 3.431 0.000
Er Lu Ge Ru
1 1 1 1
Cartesian
0.000 0.000 0.000
3.431 3.431 3.431
5.147 5.147 5.147
1.716 1.716 1.716
```



[3]
ErMgGe: relaxed, GGA-PBE.

Computed properties:
SG: I4/mmm, No. 139
ρ: 6.689 Mg/m³
Electronic total energy: -4.24 eV/atom

Geometry as POSCAR:
```
ErMgGe
1.0
-2.078 2.078 7.593
2.078 -2.078 7.593
2.078 2.078 -7.593
Er Mg Ge
2 2 2
Cartesian
0.000 0.000 2.590
0.000 0.000 12.595
2.078 0.000 0.000
0.000 2.078 0.000
0.000 0.000 5.526
0.000 0.000 9.659
```



[4]
ErMg2Ge: relaxed, GGA-PBE.

Computed properties:
SG: P4/mmm, No. 123
ρ: 5.564 Mg/m³
Electronic total energy: -3.47 eV/atom

Geometry as POSCAR:
```
ErMg2Ge
1.0
4.282 0.000 0.000
0.000 4.282 0.000
0.000 0.000 4.696
Er Mg Ge
1 2 1
Cartesian
0.000 0.000 0.000
0.000 2.141 2.348
2.141 0.000 2.348
2.141 2.141 0.000
```



Sequential energy relative to the elements output: -769.1 -523.6 -648.1 -373.1 meV per atom